K2NiAs2O6 | GGA+U | relaxed

Cell and atoms, written as CIF:
```
data_K2NiAs2O6
_symmetry_space_group_name_H-M 'P 1'
_symmetry_Int_Tables_number 1
_symmetry_space_group_name_Hall 'P 1'
_cell_length_a 5.780
_cell_length_b 5.780
_cell_length_c 6.702
_cell_angle_alpha 64.46
_cell_angle_beta 64.46
_cell_angle_gamma 60.00
loop_
_atom_site_label
_atom_site_fract_x
_atom_site_fract_y
_atom_site_fract_z
O1 0.241 0.742 0.777
O2 0.759 0.258 0.223
O3 0.759 0.759 0.223
O4 0.742 0.241 0.777
O5 0.241 0.241 0.777
O6 0.258 0.759 0.223
As1 0.570 0.570 0.289
As2 0.430 0.430 0.711
K1 0.218 0.218 0.345
K2 0.782 0.782 0.655
Ni1 0.000 0.000 0.000
```

Results
As for the crystal system: trigonal. The value obtained for the density of states at the Fermi level is 0.000 states/eV per atom. Its electronic total energy is -0.3922 Ry per atom.